*P*
DFT (GGA-PBE) results for a relaxed structure of BaB2Pd.

## Properties
For the total magnetic moment, the calculation gives 0.0 μB/f.u.

Cell: 5.1532 5.1532 12.3309 Å, 90.00 90.00 90.00°
Atoms (fractional coordinates):
Ba1 0.0000 0.2500 0.3750
Ba2 0.0000 0.7500 0.6250
Ba3 0.5000 0.2500 0.1250
Ba4 0.5000 0.7500 0.8750
B1 0.0000 0.0000 0.0000
B2 0.0000 0.5000 0.0000
B3 0.2500 0.2500 0.7500
B4 0.2500 0.7500 0.2500
B5 0.5000 0.0000 0.5000
B6 0.5000 0.5000 0.5000
B7 0.7500 0.2500 0.7500
B8 0.7500 0.7500 0.2500
Pd1 0.0000 0.2500 0.8750
Pd2 0.0000 0.7500 0.1250
Pd3 0.5000 0.2500 0.6250
Pd4 0.5000 0.7500 0.3750

*Q*
DFT (GGA-PBE) results for a relaxed structure of BaB2Pd.

## Properties
For the total magnetic moment, the calculation gives 0.0 μB/f.u.

Cell: 6.5149 6.5149 6.5149 Å, 90.00 90.00 90.00°
Atoms (fractional coordinates):
Ba1 0.0000 0.0000 0.0000
Ba2 0.0000 0.5000 0.5000
Ba3 0.5000 0.0000 0.5000
Ba4 0.5000 0.5000 0.0000
B1 0.2500 0.2500 0.2500
B2 0.2500 0.2500 0.7500
B3 0.2500 0.7500 0.2500
B4 0.2500 0.7500 0.7500
B5 0.7500 0.2500 0.2500
B6 0.7500 0.2500 0.7500
B7 0.7500 0.7500 0.2500
B8 0.7500 0.7500 0.7500
Pd1 0.0000 0.0000 0.5000
Pd2 0.0000 0.5000 0.0000
Pd3 0.5000 0.0000 0.0000
Pd4 0.5000 0.5000 0.5000

In terms of stability, *P* leads; the second structure lies 964 meV/atom higher.

*P*
DFT (GGA-PBE) results for a relaxed structure of Ba2B2Pt.

## Properties
For the total magnetic moment, the calculation gives 0.0 μB/f.u.

Cell: 7.1672 7.1672 4.3949 Å, 90.00 90.00 90.00°
Atoms (fractional coordinates):
Ba1 0.2098 0.2902 0.0000
Ba2 0.2902 0.7902 0.0000
Ba3 0.7098 0.2098 0.0000
Ba4 0.7902 0.7098 0.0000
B1 0.0788 0.5788 0.5000
B2 0.4212 0.0788 0.5000
B3 0.5788 0.9212 0.5000
B4 0.9212 0.4212 0.5000
Pt1 0.0000 0.0000 0.5000
Pt2 0.5000 0.5000 0.5000

*Q*
DFT (GGA-PBE) results for a relaxed structure of Ba2B2Pt.

## Properties
For the total magnetic moment, the calculation gives 0.0 μB/f.u.

Cell: 5.9747 5.9747 6.2790 Å, 90.00 90.00 90.00°
Atoms (fractional coordinates):
Ba1 0.0000 0.5000 0.2500
Ba2 0.0000 0.5000 0.7500
Ba3 0.5000 0.0000 0.2500
Ba4 0.5000 0.0000 0.7500
B1 0.0000 0.0000 0.1265
B2 0.0000 0.0000 0.8735
B3 0.5000 0.5000 0.3735
B4 0.5000 0.5000 0.6265
Pt1 0.0000 0.0000 0.5000
Pt2 0.5000 0.5000 0.0000

In terms of stability, *Q* leads; the second structure lies 284 meV/atom higher.

*P*
DFT (GGA-PBE) results for a relaxed structure of BaB2Pt.

## Properties
For the total magnetic moment, the calculation gives 0.0 μB/f.u.

Cell: 6.4597 6.4597 6.4597 Å, 90.00 90.00 90.00°
Atoms (fractional coordinates):
Ba1 0.0000 0.0000 0.0000
Ba2 0.0000 0.5000 0.5000
Ba3 0.5000 0.0000 0.5000
Ba4 0.5000 0.5000 0.0000
B1 0.2500 0.2500 0.2500
B2 0.2500 0.2500 0.7500
B3 0.2500 0.7500 0.2500
B4 0.2500 0.7500 0.7500
B5 0.7500 0.2500 0.2500
B6 0.7500 0.2500 0.7500
B7 0.7500 0.7500 0.2500
B8 0.7500 0.7500 0.7500
Pt1 0.0000 0.0000 0.5000
Pt2 0.0000 0.5000 0.0000
Pt3 0.5000 0.0000 0.0000
Pt4 0.5000 0.5000 0.5000

*Q*
DFT (GGA-PBE) results for a relaxed structure of BaB2Pt.

## Properties
For the total magnetic moment, the calculation gives 0.0 μB/f.u.

Cell: 5.2322 5.2322 12.0895 Å, 90.00 90.00 90.00°
Atoms (fractional coordinates):
Ba1 0.0000 0.2500 0.3750
Ba2 0.0000 0.7500 0.6250
Ba3 0.5000 0.2500 0.1250
Ba4 0.5000 0.7500 0.8750
B1 0.0000 0.0000 0.0000
B2 0.0000 0.5000 0.0000
B3 0.2500 0.2500 0.7500
B4 0.2500 0.7500 0.2500
B5 0.5000 0.0000 0.5000
B6 0.5000 0.5000 0.5000
B7 0.7500 0.2500 0.7500
B8 0.7500 0.7500 0.2500
Pt1 0.0000 0.2500 0.8750
Pt2 0.0000 0.7500 0.1250
Pt3 0.5000 0.2500 0.6250
Pt4 0.5000 0.7500 0.3750

In terms of stability, *Q* leads; the second structure lies 1299 meV/atom higher.